The following is a DFT calculation (PBE+U) of crystalline Mn3MoF at its relaxed geometry.

Properties
- distance to the lowest polymorph of the same formula (kJ/mol of formula units) = 406.1
- density of states at the Fermi level (states/eV per cell) = 1.68
- energy (eV/atom) = -5.290
- magnetization (μB per cell) = 10.188

a = 5.3767 Å, b = 5.3767 Å, c = 5.3767 Å
α = 90.00°, β = 90.00°, γ = 90.00°
With the nearest neighbours (Å) after each atom.
Space group Pm-3m (No. 221)
Unique sites:
Mn 0.0000 0.0000 0.5000 x3  2 Mo 2.69
Mo 0.0000 0.0000 0.0000 x1  6 Mn 2.69
F 0.5000 0.5000 0.5000 x1  12 Mn 3.80